Entry 1:
The following is a DFT calculation (PBE) of an optimized crystal structure of BaSr2Hg.

a = 8.815 Å, b = 8.815 Å, c = 8.815 Å
α = 90.00°, β = 90.00°, γ = 90.00°
Space group F-43m (No. 216)
Symmetry-distinct sites (fractional):
Ba (0.000, 0.000, 0.000)
Sr (0.000, 0.000, 0.500)
Sr (0.250, 0.250, 0.750)
Hg (0.250, 0.250, 0.250)

Values from the calculation:
magnetization = 0.0 μB/cell
density of states at the Fermi level = 12.34 states/eV/cell
crystal system = cubic
density = 5.0 g/cm³
final energy = -1.478 eV per atom


Entry 2:
The following is a DFT calculation (PBE) of an optimized crystal structure of Ba3SrHg.

a = 14.320 Å, b = 10.710 Å, c = 9.773 Å
α = 90.00°, β = 132.94°, γ = 90.00°
Space group C2/m (No. 12)
Symmetry-distinct sites (fractional):
Ba (0.051, 0.000, 0.339)
Ba (0.247, 0.302, 0.787)
Sr (0.051, 0.500, 0.252)
Hg (0.245, 0.500, 0.131)

Values from the calculation:
magnetization = 0.0 μB/cell
density of states at the Fermi level = 31.57 states/eV/cell
polymorph energy (0 for the lowest one) = 53 meV per atom
crystal system = monoclinic
density = 4.2 g/cm³
final energy = -1.704 eV per atom


Entry 3:
The following is a DFT calculation (PBE) of an optimized crystal structure of BaSr5Hg4.

a = 4.064 Å, b = 4.064 Å, c = 22.441 Å
α = 90.00°, β = 90.00°, γ = 90.00°
Space group P4/mmm (No. 123)
Symmetry-distinct sites (fractional):
Ba (0.000, 0.000, 0.000)
Sr (0.500, 0.500, 0.152)
Sr (0.500, 0.500, 0.325)
Sr (0.500, 0.500, 0.500)
Hg (0.000, 0.000, 0.234)
Hg (0.000, 0.000, 0.413)

Values from the calculation:
magnetization = 0.0 μB/cell
density of states at the Fermi level = 10.48 states/eV/cell
crystal system = tetragonal
density = 6.2 g/cm³
final energy = -1.576 eV per atom